A plane-wave DFT calculation with PBE-GGA was carried out for a relaxed structure of Na3Hg3Pd2.

Computed properties:
* relative energy among the computed polymorphs: 0.10 eV per formula unit
* magnetic moment: 0.00 μB/f.u.
* V: 24.2 Å³ per atom
* ΔH_f (0 K): -0.194 eV/atom
* electronic total energy: -33.6 eV/cell

Unit cell a=5.853 b=5.853 c=15.536 alpha=90.00 beta=90.00 gamma=133.39
Positions (direct):
Na1 0.072 0.928 0.603
Na2 0.072 0.928 0.897
Na3 0.343 0.657 0.750
Na4 0.657 0.343 0.250
Na5 0.928 0.072 0.103
Na6 0.928 0.072 0.397
Hg1 0.371 0.629 0.250
Hg2 0.371 0.629 0.540
Hg3 0.371 0.629 0.960
Hg4 0.629 0.371 0.040
Hg5 0.629 0.371 0.460
Hg6 0.629 0.371 0.750
Pd1 0.221 0.779 0.110
Pd2 0.221 0.779 0.390
Pd3 0.779 0.221 0.610
Pd4 0.779 0.221 0.890